Record 1
The following is a PBE calculation of a relaxed Ac2ErTc crystal, from Alexandria via LeMat-Bulk.

The structure belongs to space group R-3m (No. 166, hexagonal axes); the cell edges are 3.6882, 3.6882 and 34.0095 Å and the angles 90.00°, 90.00° and 120.00°. The asymmetric unit holds Ac at (0.0000, 0.0000, 0.1035), Er at (0.0000, 0.0000, 0.0000) and Tc at (0.0000, 0.0000, 0.5000).

For the calculated total energy, the calculation gives -5.2275 eV per atom. The calculation puts the density at 8.94 g/cm³.


Record 2
The following is a PBE calculation of a relaxed AcEr3Tc crystal, from Alexandria via LeMat-Bulk.

The structure belongs to space group Pmmn (No. 59, origin choice 2); the cell edges are 4.175, 8.746 and 8.583 Å and the angles 90.00°, 90.00° and 90.00°. The asymmetric unit holds Ac at (0.250, 0.250, 0.048), Er at (0.250, 0.558, 0.650), Er at (0.250, 0.750, 0.305) and Tc at (0.250, 0.250, 0.478).

The calculation puts the density at 8.76 g/cm³. For the energy above the lowest structure with this stoichiometry, the calculation gives 0.000 eV per atom.


Record 3
The following is a PBE calculation of a relaxed AcEr3Tc crystal, from Alexandria via LeMat-Bulk.

The structure belongs to space group Pm-3m (No. 221); the cell edges are 5.437, 5.437 and 5.437 Å and the angles 90.00°, 90.00° and 90.00°. The asymmetric unit holds Ac at (0.000, 0.000, 0.000), Er at (0.000, 0.500, 0.500) and Tc at (0.500, 0.500, 0.500).

The calculation puts the density at 8.54 g/cm³. For the energy above the lowest structure with this stoichiometry, the calculation gives 0.077 eV per atom.


Record 4
The following is a PBE calculation of a relaxed Ac2ErTe crystal, from Alexandria via LeMat-Bulk.

The structure belongs to space group Fm-3m (No. 225); the cell edges are 8.345, 8.345 and 8.345 Å and the angles 90.00°, 90.00° and 90.00°. The asymmetric unit holds Ac at (0.250, 0.250, 0.250), Er at (0.000, 0.000, 0.000) and Te at (0.000, 0.000, 0.500).

The uncorrected formation energy is -0.235 eV/atom. The calculation puts the density at 8.56 g/cm³. For the energy above the lowest structure with this stoichiometry, the calculation gives 0.300 eV per atom.


Record 5
The following is a PBE calculation of a relaxed AcErTe crystal, from Alexandria via LeMat-Bulk.

The structure belongs to space group P3m1 (No. 156); the cell edges are 5.3306, 5.3306 and 4.1970 Å and the angles 90.00°, 90.00° and 120.00°. The asymmetric unit holds Ac at (0.0000, 0.0000, 0.0000), Er at (0.3333, 0.6667, 0.4999) and Te at (0.6667, 0.3333, 0.4988).

The uncorrected formation energy is -0.562 eV/atom. The calculation puts the density at 8.39 g/cm³. For the energy above the lowest structure with this stoichiometry, the calculation gives 0.000 eV per atom.


Record 6
The following is a PBE calculation of a relaxed AcEr2Te crystal, from Alexandria via LeMat-Bulk.

The structure belongs to space group R3m (No. 160, hexagonal axes); the cell edges are 3.9354, 3.9354 and 30.4844 Å and the angles 90.00°, 90.00° and 120.00°. The asymmetric unit holds Ac at (0.0000, 0.0000, 0.0000), Er at (0.0000, 0.0000, 0.5671), Er at (0.0000, 0.0000, 0.7659) and Te at (0.0000, 0.0000, 0.1665).

The uncorrected formation energy is -0.500 eV/atom. The calculation puts the density at 8.40 g/cm³. For the energy above the lowest structure with this stoichiometry, the calculation gives 0.017 eV per atom.


Record 7
The following is a PBE calculation of a relaxed Ac2Er3Te6 crystal, from Alexandria via LeMat-Bulk.

The structure belongs to space group C2/m (No. 12); the cell edges are 7.684, 13.253 and 7.929 Å and the angles 90.00°, 108.97° and 90.00°. The asymmetric unit holds Ac at (0.000, 0.165, 0.000), Er at (0.000, 0.000, 0.500), Er at (0.000, 0.329, 0.500), Te at (0.231, 0.500, 0.728) and Te at (0.250, 0.161, 0.731).

The uncorrected formation energy is -1.414 eV/atom. The calculation puts the density at 7.49 g/cm³.


Record 8
The following is a PBE calculation of a relaxed Ac2ErTe4 crystal, from Alexandria via LeMat-Bulk.

The structure belongs to space group C2/m (No. 12); the cell edges are 14.613, 4.401 and 9.322 Å and the angles 90.00°, 121.42° and 90.00°. The asymmetric unit holds Ac at (0.144, 0.000, 0.198), Er at (0.000, 0.500, 0.500), Te at (0.061, 0.500, 0.868) and Te at (0.163, 0.000, 0.576).

The uncorrected formation energy is -1.482 eV/atom. The calculation puts the density at 7.35 g/cm³. For the energy above the lowest structure with this stoichiometry, the calculation gives 0.000 eV per atom.


Record 9
The following is a PBE calculation of a relaxed AcErTe crystal, from Alexandria via LeMat-Bulk.

The structure belongs to space group I4mm (No. 107); the cell edges are 3.756, 3.756 and 17.760 Å and the angles 90.00°, 90.00° and 90.00°. The asymmetric unit holds Ac at (0.000, 0.000, 0.000), Er at (0.000, 0.000, 0.652) and Te at (0.000, 0.000, 0.816).

The uncorrected formation energy is -0.019 eV/atom. The calculation puts the density at 6.92 g/cm³. For the energy above the lowest structure with this stoichiometry, the calculation gives 0.544 eV per atom.


Record 10
The following is a PBE calculation of a relaxed Ac4ErTe5 crystal, from Alexandria via LeMat-Bulk.

The structure belongs to space group R-3m (No. 166, hexagonal axes); the cell edges are 4.5837, 4.5837 and 58.5677 Å and the angles 90.00°, 90.00° and 120.00°. The asymmetric unit holds Ac at (0.0000, 0.0000, 0.1040), Ac at (0.0000, 0.0000, 0.2985), Er at (0.0000, 0.0000, 0.5000), Te at (0.0000, 0.0000, 0.0000), Te at (0.0000, 0.0000, 0.1941) and Te at (0.0000, 0.0000, 0.4029).

The uncorrected formation energy is -1.429 eV/atom. The calculation puts the density at 8.01 g/cm³. For the energy above the lowest structure with this stoichiometry, the calculation gives 0.000 eV per atom.


Record 11
The following is a PBE calculation of a relaxed Ac5ErTe8 crystal, from Alexandria via LeMat-Bulk.

The structure belongs to space group I-4 (No. 82); the cell edges are 9.836, 9.836 and 9.955 Å and the angles 90.00°, 90.00° and 90.00°. The asymmetric unit holds Ac at (0.000, 0.000, 0.000), Ac at (0.122, 0.749, 0.624), Er at (0.000, 0.500, 0.250), Te at (0.071, 0.812, 0.295) and Te at (0.078, 0.672, 0.954).

The uncorrected formation energy is -1.501 eV/atom. The calculation puts the density at 8.01 g/cm³.


Record 12
The following is a PBE calculation of a relaxed Ac3ErTe6 crystal, from Alexandria via LeMat-Bulk.

The structure belongs to space group P2_1/c (No. 14); the cell edges are 7.742, 8.629 and 13.690 Å and the angles 90.00°, 121.84° and 90.00°. The asymmetric unit holds Ac at (0.000, 0.000, 0.000), Ac at (0.305, 0.111, 0.758), Er at (0.500, 0.000, 0.500), Te at (0.111, 0.049, 0.264), Te at (0.254, 0.673, 0.077) and Te at (0.416, 0.188, 0.072).

The uncorrected formation energy is -1.502 eV/atom. The calculation puts the density at 6.90 g/cm³. For the energy above the lowest structure with this stoichiometry, the calculation gives 0.000 eV per atom.


Record 13
The following is a PBE calculation of a relaxed Ac2ErTe crystal, from Alexandria via LeMat-Bulk.

The structure belongs to space group P4/mmm (No. 123); the cell edges are 4.114, 4.114 and 8.768 Å and the angles 90.00°, 90.00° and 90.00°. The asymmetric unit holds Ac at (0.000, 0.000, 0.227), Er at (0.500, 0.500, 0.500) and Te at (0.500, 0.500, 0.000).

The uncorrected formation energy is -0.536 eV/atom. The calculation puts the density at 8.38 g/cm³. For the energy above the lowest structure with this stoichiometry, the calculation gives 0.000 eV per atom.


Record 14
The following is a PBE calculation of a relaxed AcEr4Te6 crystal, from Alexandria via LeMat-Bulk.

The structure belongs to space group Cmcm (No. 63); the cell edges are 4.365, 14.202 and 22.254 Å and the angles 90.00°, 90.00° and 90.00°. The asymmetric unit holds Ac at (0.000, 0.154, 0.250), Er at (0.000, 0.095, 0.622), Er at (0.000, 0.355, 0.534), Te at (0.000, 0.000, 0.000), Te at (0.000, 0.171, 0.750), Te at (0.000, 0.262, 0.093) and Te at (0.000, 0.455, 0.658).

The uncorrected formation energy is -1.369 eV/atom. The calculation puts the density at 8.00 g/cm³.


Record 15
The following is a PBE calculation of a relaxed AcErTe2 crystal, from Alexandria via LeMat-Bulk.

The structure belongs to space group Pc (No. 7); the cell edges are 4.619, 10.146 and 8.518 Å and the angles 90.00°, 122.75° and 90.00°. The asymmetric unit holds Ac at (0.000, 0.089, 0.000), Er at (0.156, 0.338, 0.655), Te at (0.795, 0.195, 0.296) and Te at (0.893, 0.418, 0.893).

The uncorrected formation energy is -0.978 eV/atom. The calculation puts the density at 6.43 g/cm³. For the energy above the lowest structure with this stoichiometry, the calculation gives 0.380 eV per atom.


Record 16
The following is a PBE calculation of a relaxed AcEr2Te crystal, from Alexandria via LeMat-Bulk.

The structure belongs to space group P4/mmm (No. 123); the cell edges are 3.853, 3.853 and 8.442 Å and the angles 90.00°, 90.00° and 90.00°. The asymmetric unit holds Ac at (0.000, 0.000, 0.000), Er at (0.500, 0.500, 0.291) and Te at (0.000, 0.000, 0.500).

The uncorrected formation energy is -0.518 eV/atom. The calculation puts the density at 9.13 g/cm³. For the energy above the lowest structure with this stoichiometry, the calculation gives 0.000 eV per atom.


Record 17
The following is a PBE calculation of a relaxed Ac2ErTe4 crystal, from Alexandria via LeMat-Bulk.

The structure belongs to space group Cmcm (No. 63); the cell edges are 4.373, 15.640 and 15.600 Å and the angles 90.00°, 90.00° and 90.00°. The asymmetric unit holds Ac at (0.000, 0.132, 0.077), Er at (0.000, 0.369, 0.250), Te at (0.000, 0.010, 0.250), Te at (0.000, 0.213, 0.628) and Te at (0.000, 0.500, 0.000).

The uncorrected formation energy is -1.384 eV/atom. The calculation puts the density at 7.04 g/cm³. For the energy above the lowest structure with this stoichiometry, the calculation gives 0.098 eV per atom.


Record 18
The following is a PBE calculation of a relaxed AcErTe2 crystal, from Alexandria via LeMat-Bulk.

The structure belongs to space group R-3m (No. 166, hexagonal axes); the cell edges are 4.5730, 4.5730 and 29.6063 Å and the angles 90.00°, 90.00° and 120.00°. The asymmetric unit holds Ac at (0.0000, 0.0000, 0.0000), Er at (0.0000, 0.0000, 0.5000) and Te at (0.0000, 0.0000, 0.4002).

The uncorrected formation energy is -0.858 eV/atom. The calculation puts the density at 6.03 g/cm³. For the energy above the lowest structure with this stoichiometry, the calculation gives 0.500 eV per atom.


Record 19
The following is a PBE calculation of a relaxed Ac2ErTe5 crystal, from Alexandria via LeMat-Bulk.

The structure belongs to space group Cm (No. 8); the cell edges are 9.242, 13.002 and 6.661 Å and the angles 90.00°, 133.10° and 90.00°. The asymmetric unit holds Ac at (0.000, 0.232, 0.000), Er at (0.018, 0.500, 0.585), Te at (0.080, 0.000, 0.279), Te at (0.388, 0.500, 0.678), Te at (0.486, 0.000, 0.005) and Te at (0.499, 0.232, 0.501).

The uncorrected formation energy is -1.270 eV/atom. The calculation puts the density at 7.16 g/cm³.


Record 20
The following is a PBE calculation of a relaxed Ac4ErTe6 crystal, from Alexandria via LeMat-Bulk.

The structure belongs to space group R-3c (No. 167, hexagonal axes); the cell edges are 13.0544, 13.0544 and 15.7460 Å and the angles 90.00°, 90.00° and 120.00°. The asymmetric unit holds Ac at (0.0000, 0.0000, 0.2500), Ac at (0.0000, 0.3870, 0.2500), Er at (0.0000, 0.0000, 0.0000) and Te at (0.0327, 0.2039, 0.3889).

The uncorrected formation energy is -1.452 eV/atom. The calculation puts the density at 7.89 g/cm³.